1.
Here is CrCuTc at its PBEsol-relaxed geometry from Alexandria. Energies are from SCAN.

```
CrCuTc
1.0
2.584 0.000 0.000
-1.292 2.238 0.000
0.000 0.000 6.474
Cr Cu Tc
1 1 1
direct
0.000 0.000 0.000
0.667 0.333 0.675
0.333 0.667 0.326
```

Calculated formation energy (kcal/mol of atoms): 7.78
Crystal system: trigonal
V (Å³ per cell): 37
Uncorrected energy (eV/atom): -22.54

2.
Here is Cu2NiIr at its PBEsol-relaxed geometry from Alexandria. Energies are from SCAN.

```
Cu2NiIr
1.0
2.609 0.000 0.000
0.000 2.609 0.000
0.000 0.000 6.979
Cu Ni Ir
2 1 1
direct
0.000 0.000 0.000
0.500 0.500 0.242
0.500 0.500 0.761
0.000 0.000 0.512
```

Calculated formation energy (kcal/mol of atoms): 1.98
Crystal system: tetragonal
V (Å³ per cell): 48
Uncorrected energy (eV/atom): -29.33

3.
Here is CaHI2 at its PBEsol-relaxed geometry from Alexandria. Energies are from SCAN.

```
CaHI2
1.0
4.416 0.000 0.000
-0.006 7.663 0.000
-1.938 -3.714 8.654
Ca H I
2 2 4
direct
0.249 0.250 0.499
0.751 0.750 0.501
0.045 0.012 0.975
0.955 0.988 0.025
0.161 0.485 0.296
0.341 0.017 0.704
0.659 0.983 0.296
0.839 0.515 0.704
```

Crystal system: triclinic
V (Å³ per cell): 293
Uncorrected energy (eV/atom): -22.97

4.
Here is BeRe4Se at its PBEsol-relaxed geometry from Alexandria. Energies are from SCAN.

```
BeRe4Se
1.0
0.000 3.635 3.635
3.635 0.000 3.635
3.635 3.635 0.000
Be Re Se
1 4 1
direct
0.000 0.000 0.000
0.375 0.375 0.375
0.375 0.375 0.874
0.375 0.874 0.375
0.874 0.375 0.375
0.750 0.750 0.750
```

Crystal system: cubic
Formation energy from raw total energies (eV per atom): 0.961
V (Å³ per cell): 96
Uncorrected energy (eV/atom): -50.51

5.
Here is Be2PBr at its PBEsol-relaxed geometry from Alexandria. Energies are from SCAN.

```
Be2PBr
1.0
-1.569 1.628 6.435
1.569 -1.628 6.435
1.569 1.628 -6.435
Be P Br
2 1 1
direct
0.000 0.000 0.000
0.644 0.144 0.500
0.124 0.624 0.500
0.392 0.392 0.000
```

Crystal system: orthorhombic
Formation energy from raw total energies (eV per atom): 0.107
V (Å³ per cell): 66
Uncorrected energy (eV/atom): -9.53

6.
Here is AsRhSCl2 at its PBEsol-relaxed geometry from Alexandria. Energies are from SCAN.

```
AsRhSCl2
1.0
4.741 0.000 0.000
0.000 4.741 0.000
0.000 0.000 4.903
As Rh S Cl
1 1 1 2
direct
0.000 0.000 0.000
0.500 0.500 0.500
0.000 0.000 0.500
0.000 0.500 0.000
0.500 0.000 0.000
```

Crystal system: tetragonal
Formation energy from raw total energies (eV per atom): 0.418
V (Å³ per cell): 110
Uncorrected energy (eV/atom): -15.49

7.
Here is Tl2NiF at its PBEsol-relaxed geometry from Alexandria. Energies are from SCAN.

```
Tl2NiF
1.0
0.000 3.258 3.258
3.258 0.000 3.258
3.258 3.258 0.000
Tl Ni F
2 1 1
direct
0.250 0.250 0.250
0.750 0.750 0.750
0.000 0.000 0.000
0.500 0.500 0.500
```

Crystal system: cubic
Formation energy from raw total energies (eV per atom): -0.332
V (Å³ per cell): 69
Uncorrected energy (eV/atom): -41.44

8.
Here is KNa2Hf at its PBEsol-relaxed geometry from Alexandria. Energies are from SCAN.

```
KNa2Hf
1.0
-4.397 4.397 3.559
4.397 -4.397 3.559
4.397 4.397 -3.559
K Na Hf
2 4 2
direct
0.000 0.000 0.000
0.750 0.250 0.500
0.123 0.625 0.998
0.375 0.373 0.498
0.627 0.125 0.002
0.875 0.877 0.502
0.250 0.750 0.500
0.500 0.500 0.000
```

Calculated formation energy (kcal/mol of atoms): 26.55
Crystal system: tetragonal
V (Å³ per cell): 275
Uncorrected energy (eV/atom): -18.71

9.
Here is Cs4Zr3MnP6O24 at its PBEsol-relaxed geometry from Alexandria. Energies are from SCAN.

```
Cs4Zr3MnP6O24
1.0
10.362 0.000 0.000
0.000 10.343 0.000
0.000 0.000 10.366
Cs Zr Mn P O
8 6 2 12 48
direct
0.038 0.000 0.304
0.177 0.277 0.930
0.310 0.643 0.436
0.451 0.915 0.781
0.549 0.415 0.219
0.690 0.143 0.564
0.823 0.777 0.070
0.962 0.500 0.696
0.159 0.620 0.089
0.334 0.295 0.586
0.391 0.067 0.142
0.609 0.567 0.858
0.666 0.795 0.414
0.841 0.120 0.911
0.103 0.853 0.645
0.897 0.353 0.355
0.021 0.165 0.623
0.127 0.937 0.958
0.207 0.332 0.270
0.289 0.582 0.774
0.378 0.982 0.459
0.477 0.748 0.127
0.523 0.248 0.873
0.622 0.482 0.541
0.711 0.082 0.226
0.793 0.832 0.730
0.873 0.437 0.042
0.979 0.665 0.377
0.003 0.510 0.022
0.015 0.024 0.584
0.045 0.755 0.473
0.049 0.682 0.242
0.070 0.283 0.262
0.110 0.796 0.008
0.164 0.212 0.644
0.172 0.944 0.819
0.211 0.685 0.706
0.226 0.462 0.197
0.227 0.005 0.049
0.243 0.561 0.916
0.257 0.350 0.411
0.274 0.451 0.701
0.277 0.914 0.539
0.301 0.234 0.203
0.337 0.700 0.145
0.339 0.983 0.314
0.399 0.124 0.504
0.434 0.618 0.777
0.447 0.233 0.746
0.454 0.165 0.976
0.477 0.891 0.083
0.491 0.410 0.529
0.509 0.910 0.471
0.523 0.391 0.917
0.546 0.665 0.024
0.553 0.733 0.254
0.566 0.118 0.223
0.601 0.624 0.496
0.661 0.483 0.686
0.663 0.200 0.855
0.699 0.734 0.797
0.723 0.414 0.461
0.726 0.951 0.299
0.743 0.850 0.589
0.757 0.061 0.084
0.773 0.505 0.951
0.774 0.962 0.803
0.789 0.185 0.294
0.828 0.444 0.181
0.836 0.712 0.356
0.890 0.296 0.992
0.930 0.783 0.738
0.951 0.182 0.758
0.955 0.255 0.527
0.985 0.524 0.416
0.997 0.010 0.978
```

Crystal system: monoclinic
Formation energy from raw total energies (eV per atom): -2.891
V (Å³ per cell): 1111
Uncorrected energy (eV/atom): -15.35

10.
Here is Mg3Au at its PBEsol-relaxed geometry from Alexandria. Energies are from SCAN.

```
Mg3Au
1.0
8.029 0.000 0.000
-4.015 6.953 0.000
0.000 0.000 8.492
Mg Au
18 6
direct
0.000 0.000 0.242
0.000 0.000 0.742
0.000 0.280 0.000
0.000 0.375 0.343
0.000 0.625 0.843
0.000 0.720 0.500
0.280 0.000 0.000
0.280 0.280 0.500
0.333 0.667 0.125
0.333 0.667 0.625
0.375 0.000 0.343
0.375 0.375 0.843
0.625 0.000 0.843
0.625 0.625 0.343
0.667 0.333 0.125
0.667 0.333 0.625
0.720 0.000 0.500
0.720 0.720 0.000
0.000 0.328 0.672
0.000 0.672 0.172
0.328 0.000 0.672
0.328 0.328 0.172
0.672 0.000 0.172
0.672 0.672 0.672
```

Calculated formation energy (kcal/mol of atoms): -13.73
Crystal system: hexagonal
V (Å³ per cell): 474
Uncorrected energy (eV/atom): -21.62

11.
Here is NdCo5P3 at its PBEsol-relaxed geometry from Alexandria. Energies are from SCAN.

```
NdCo5P3
1.0
11.679 0.000 0.000
0.000 3.637 0.000
0.000 0.000 10.277
Nd Co P
4 20 12
direct
0.202 0.250 0.084
0.298 0.750 0.584
0.702 0.250 0.416
0.798 0.750 0.916
0.009 0.750 0.714
0.010 0.750 0.094
0.068 0.750 0.470
0.176 0.250 0.781
0.197 0.250 0.383
0.303 0.750 0.883
0.324 0.750 0.281
0.432 0.250 0.970
0.490 0.250 0.594
0.491 0.250 0.214
0.509 0.750 0.786
0.510 0.750 0.406
0.568 0.750 0.030
0.676 0.250 0.719
0.697 0.250 0.117
0.803 0.750 0.617
0.824 0.750 0.219
0.932 0.250 0.530
0.990 0.250 0.906
0.991 0.250 0.286
0.107 0.750 0.895
0.109 0.250 0.584
0.129 0.750 0.276
0.371 0.250 0.776
0.391 0.750 0.084
0.393 0.250 0.395
0.607 0.750 0.605
0.609 0.250 0.916
0.629 0.750 0.224
0.871 0.250 0.724
0.891 0.750 0.416
0.893 0.250 0.105
```

Calculated formation energy (kcal/mol of atoms): -16.37
Crystal system: orthorhombic
V (Å³ per cell): 437
Uncorrected energy (eV/atom): -18.63

12.
Here is LiZrAg at its PBEsol-relaxed geometry from Alexandria. Energies are from SCAN.

```
LiZrAg
1.0
0.000 2.214 6.785
1.822 0.000 6.785
1.822 2.214 0.000
Li Zr Ag
1 1 1
direct
0.000 0.000 0.000
0.688 0.688 0.312
0.356 0.356 0.644
```

Calculated formation energy (kcal/mol of atoms): 1.49
Crystal system: orthorhombic
V (Å³ per cell): 55
Uncorrected energy (eV/atom): -21.42

Number 1: Fermi-level density of states 3.22 states/eV/f.u.. Number 2: Fermi-level density of states 3.96 states/eV/f.u.. Number 3: Fermi-level density of states 0.00 states/eV/f.u.. Number 4: Fermi-level density of states 3.45 states/eV/f.u.. Number 5: Fermi-level density of states 0.54 states/eV/f.u.. Number 6: Fermi-level density of states 2.98 states/eV/f.u.. Number 7: Fermi-level density of states 2.31 states/eV/f.u.. Number 8: Fermi-level density of states 3.92 states/eV/f.u.. Number 9: Fermi-level density of states 0.00 states/eV/f.u.. Number 10: Fermi-level density of states 1.00 states/eV/f.u.. Number 11: Fermi-level density of states 3.15 states/eV/f.u.. Number 12: Fermi-level density of states 1.86 states/eV/f.u..